This record from Alexandria describes a relaxed Ba4LiPd crystal. The functional is PBE-GGA.

Results
The total energy is -2.62 eV/atom. The value obtained for the formation enthalpy at 0 K is -3.52 kcal/mol of atoms. Its energy above the most stable polymorph in this dataset is 0.060 eV/f.u. The calculation puts the density of states at the Fermi level at 13.5 states/eV/cell.

Lattice parameters (Å, degrees): 7.5574 9.6148 9.4783 114.39 106.19 103.67
Fractional coordinates of all 12 atoms:
1 Ba 0.0219 0.2153 0.8625
2 Ba 0.8028 0.7208 0.6652
3 Ba 0.3406 0.6472 0.8625
4 Ba 0.3624 0.9444 0.6652
5 Ba 0.6376 0.0556 0.3348
6 Ba 0.6594 0.3528 0.1375
7 Ba 0.1972 0.2792 0.3348
8 Ba 0.9781 0.7847 0.1375
9 Li 0.3830 0.6330 0.2660
10 Li 0.6170 0.3670 0.7340
11 Pd 0.2516 0.0016 0.0031
12 Pd 0.7484 0.9984 0.9969

This record from Alexandria describes a relaxed Ba2Li6Pd3 crystal. The functional is PBE-GGA.

Results
The total energy is -3.08 eV/atom. The value obtained for the formation enthalpy at 0 K is -6.30 kcal/mol of atoms. The calculation puts the density of states at the Fermi level at 4.5 states/eV/cell.

Lattice parameters (Å, degrees): 4.3624 8.2006 8.2006 120.00 90.00 90.00
Fractional coordinates of all 11 atoms:
1 Ba 0.0000 0.6667 0.3333
2 Ba 0.0000 0.3333 0.6667
3 Li 0.5000 0.7407 0.7407
4 Li 0.5000 0.0000 0.2593
5 Li 0.0000 0.2053 0.2053
6 Li 0.0000 0.7947 0.0000
7 Li 0.5000 0.2593 0.0000
8 Li 0.0000 0.0000 0.7947
9 Pd 0.5000 0.3784 0.3784
10 Pd 0.5000 0.6216 0.0000
11 Pd 0.5000 0.0000 0.6216

This record from Alexandria describes a relaxed BaLi2Pd crystal. The functional is PBE-GGA.

Results
The total energy is -2.87 eV/atom. The value obtained for the formation enthalpy at 0 K is -3.14 kcal/mol of atoms. Its energy above the most stable polymorph in this dataset is 0.606 eV/f.u. The calculation puts the density of states at the Fermi level at 3.3 states/eV/cell.

Lattice parameters (Å, degrees): 4.9001 4.9001 9.8630 75.62 75.62 90.00
Fractional coordinates of all 8 atoms:
1 Ba 0.0000 0.0000 0.0000
2 Ba 0.7500 0.2500 0.5000
3 Pd 0.5000 0.5000 0.0000
4 Pd 0.2500 0.7500 0.5000
5 Li 0.3748 0.1250 0.2500
6 Li 0.3752 0.6250 0.2500
7 Li 0.3750 0.6252 0.7500
8 Li 0.8750 0.6248 0.7500

This record from Alexandria describes a relaxed Ba4LiPd crystal. The functional is PBE-GGA.

Results
The total energy is -2.63 eV/atom. The value obtained for the formation enthalpy at 0 K is -3.76 kcal/mol of atoms. Its energy above the most stable polymorph in this dataset is 0.000 eV/f.u. The calculation puts the density of states at the Fermi level at 10.5 states/eV/cell.

Lattice parameters (Å, degrees): 7.7573 8.5207 10.1996 74.25 67.65 90.01
Fractional coordinates of all 12 atoms:
1 Ba 0.2990 0.0305 0.1888
2 Ba 0.4875 0.4694 0.8113
3 Ba 0.7010 0.9695 0.8112
4 Ba 0.5125 0.5306 0.1887
5 Ba 0.7227 0.8592 0.3754
6 Ba 0.0980 0.6409 0.6246
7 Ba 0.2773 0.1408 0.6246
8 Ba 0.9020 0.3591 0.3754
9 Li 0.1059 0.7499 0.0000
10 Li 0.8941 0.2501 0.0000
11 Pd 0.0000 0.0000 0.5000
12 Pd 0.5000 0.5000 0.5000

This record from Alexandria describes a relaxed BaLi9Pd2 crystal. The functional is PBE-GGA.

Results
The total energy is -2.66 eV/atom. The value obtained for the formation enthalpy at 0 K is -4.48 kcal/mol of atoms. The calculation puts the density of states at the Fermi level at 10.3 states/eV/cell.

Lattice parameters (Å, degrees): 7.4554 8.9022 8.9022 79.90 65.24 65.24
Fractional coordinates of all 24 atoms:
1 Ba 0.5000 0.0000 0.0000
2 Ba 0.2500 0.5000 0.5000
3 Li 0.7500 0.5000 0.5000
4 Li 0.0000 0.0000 0.0000
5 Li 0.0298 0.9272 0.6774
6 Li 0.6345 0.0728 0.3226
7 Li 0.7071 0.1774 0.5728
8 Li 0.4572 0.8226 0.4272
9 Li 0.7202 0.8226 0.5728
10 Li 0.1155 0.1774 0.4272
11 Li 0.0429 0.9272 0.3226
12 Li 0.2928 0.0728 0.6774
13 Li 0.7202 0.5728 0.8226
14 Li 0.1155 0.4272 0.1774
15 Li 0.0429 0.3226 0.9272
16 Li 0.2928 0.6774 0.0728
17 Li 0.0298 0.6774 0.9272
18 Li 0.6345 0.3226 0.0728
19 Li 0.7071 0.5728 0.1774
20 Li 0.4572 0.4272 0.8226
21 Pd 0.8750 0.2500 0.7500
22 Pd 0.8750 0.7500 0.2500
23 Pd 0.8750 0.2500 0.2500
24 Pd 0.3750 0.7500 0.7500

This record from Alexandria describes a relaxed Ba3LiPd crystal. The functional is PBE-GGA.

Results
The total energy is -2.76 eV/atom. The value obtained for the formation enthalpy at 0 K is -4.20 kcal/mol of atoms. Its energy above the most stable polymorph in this dataset is 0.140 eV/f.u. The calculation puts the density of states at the Fermi level at 9.0 states/eV/cell.

Lattice parameters (Å, degrees): 6.2690 8.6003 8.5062 93.22 90.02 90.00
Fractional coordinates of all 10 atoms:
1 Ba 0.5432 0.9830 0.6688
2 Ba 0.5433 0.3772 0.0402
3 Ba 0.0430 0.1726 0.3757
4 Ba 0.0431 0.6605 0.8618
5 Ba 0.5429 0.4900 0.5139
6 Ba 0.5429 0.8750 0.1575
7 Li 0.0429 0.6821 0.3477
8 Li 0.0433 0.1918 0.9219
9 Pd 0.5431 0.6768 0.8377
10 Pd 0.0435 0.4344 0.1518

This record from Alexandria describes a relaxed BaLi4Pd crystal. The functional is PBE-GGA.

Results
The total energy is -2.51 eV/atom. The value obtained for the formation enthalpy at 0 K is -1.18 kcal/mol of atoms. Its energy above the most stable polymorph in this dataset is 0.664 eV/f.u. The calculation puts the density of states at the Fermi level at 1.4 states/eV/cell.

Lattice parameters (Å, degrees): 5.7249 5.7249 5.7249 60.00 60.00 60.00
Fractional coordinates of all 6 atoms:
1 Ba 0.2500 0.2500 0.2500
2 Pd 0.0000 0.0000 0.0000
3 Li 0.6285 0.6285 0.1146
4 Li 0.6285 0.1146 0.6285
5 Li 0.6285 0.6285 0.6285
6 Li 0.1146 0.6285 0.6285

This record from Alexandria describes a relaxed Ba2LiPd2 crystal. The functional is PBE-GGA.

Results
The total energy is -3.41 eV/atom. The value obtained for the formation enthalpy at 0 K is -4.08 kcal/mol of atoms. Its energy above the most stable polymorph in this dataset is 1.309 eV/f.u. The calculation puts the density of states at the Fermi level at 5.2 states/eV/cell.

Lattice parameters (Å, degrees): 9.0551 9.0551 3.7848 90.00 90.00 90.00
Fractional coordinates of all 10 atoms:
1 Ba 0.3550 0.8550 0.0000
2 Ba 0.8550 0.6450 0.0000
3 Ba 0.6450 0.1450 0.0000
4 Ba 0.1450 0.3550 0.0000
5 Pd 0.1560 0.6560 0.5000
6 Pd 0.6560 0.8440 0.5000
7 Pd 0.8440 0.3440 0.5000
8 Pd 0.3440 0.1560 0.5000
9 Li 0.0000 0.0000 0.0000
10 Li 0.5000 0.5000 0.0000

This record from Alexandria describes a relaxed BaLi2Pd2 crystal. The functional is PBE-GGA.

Results
The total energy is -3.53 eV/atom. The value obtained for the formation enthalpy at 0 K is -6.88 kcal/mol of atoms. Its energy above the most stable polymorph in this dataset is 0.569 eV/f.u. The calculation puts the density of states at the Fermi level at 3.1 states/eV/cell.

Lattice parameters (Å, degrees): 7.8486 7.8486 3.2220 90.00 90.00 90.00
Fractional coordinates of all 10 atoms:
1 Ba 0.0000 0.0000 0.0000
2 Ba 0.5000 0.5000 0.0000
3 Pd 0.1685 0.6685 0.5000
4 Pd 0.6685 0.8315 0.5000
5 Pd 0.8315 0.3315 0.5000
6 Pd 0.3315 0.1685 0.5000
7 Li 0.3843 0.8843 0.0000
8 Li 0.8843 0.6157 0.0000
9 Li 0.6157 0.1157 0.0000
10 Li 0.1157 0.3843 0.0000

This record from Alexandria describes a relaxed Ba2LiPd2 crystal. The functional is PBE-GGA.

Results
The total energy is -3.59 eV/atom. The value obtained for the formation enthalpy at 0 K is -8.42 kcal/mol of atoms. Its energy above the most stable polymorph in this dataset is 0.369 eV/f.u. The calculation puts the density of states at the Fermi level at 6.6 states/eV/cell.

Lattice parameters (Å, degrees): 8.2099 8.2099 4.4886 90.00 90.00 90.00
Fractional coordinates of all 10 atoms:
1 Ba 0.1734 0.6734 0.5000
2 Ba 0.6734 0.8266 0.5000
3 Ba 0.8266 0.3266 0.5000
4 Ba 0.3266 0.1734 0.5000
5 Pd 0.3784 0.8784 0.0000
6 Pd 0.8784 0.6216 0.0000
7 Pd 0.6216 0.1216 0.0000
8 Pd 0.1216 0.3784 0.0000
9 Li 0.0000 0.0000 0.0000
10 Li 0.5000 0.5000 0.0000

This record from Alexandria describes a relaxed Ba3LiPd8 crystal. The functional is PBE-GGA.

Results
The total energy is -4.60 eV/atom. The value obtained for the formation enthalpy at 0 K is -11.40 kcal/mol of atoms. The calculation puts the density of states at the Fermi level at 3.7 states/eV/cell.

Lattice parameters (Å, degrees): 5.6547 5.6547 9.7452 73.13 73.13 60.00
Fractional coordinates of all 12 atoms:
1 Ba 0.3775 0.3775 0.8676
2 Ba 0.9923 0.9923 0.0231
3 Ba 0.5059 0.5059 0.4823
4 Li 0.8634 0.8634 0.4098
5 Pd 0.9384 0.4367 0.1883
6 Pd 0.4419 0.9398 0.6786
7 Pd 0.4367 0.4367 0.1883
8 Pd 0.9398 0.9398 0.6786
9 Pd 0.1890 0.1890 0.4330
10 Pd 0.6888 0.6888 0.9336
11 Pd 0.4367 0.9384 0.1883
12 Pd 0.9398 0.4419 0.6786

This record from Alexandria describes a relaxed Ba2Li17Pd3 crystal. The functional is PBE-GGA.

Results
The total energy is -2.45 eV/atom. The value obtained for the formation enthalpy at 0 K is -2.03 kcal/mol of atoms. The calculation puts the density of states at the Fermi level at 9.6 states/eV/cell.

Lattice parameters (Å, degrees): 8.0201 8.0201 8.0201 83.70 83.70 83.70
Fractional coordinates of all 22 atoms:
1 Ba 0.3321 0.3321 0.3321
2 Ba 0.6679 0.6679 0.6679
3 Li 0.5000 0.0000 0.0000
4 Li 0.0000 0.0000 0.5000
5 Li 0.0000 0.5000 0.0000
6 Li 0.0000 0.7325 0.2675
7 Li 0.7325 0.2675 0.0000
8 Li 0.2675 0.0000 0.7325
9 Li 0.2675 0.7325 0.0000
10 Li 0.7325 0.0000 0.2675
11 Li 0.0000 0.2675 0.7325
12 Li 0.1646 0.6667 0.6667
13 Li 0.6667 0.6667 0.1646
14 Li 0.6667 0.1646 0.6667
15 Li 0.8354 0.3333 0.3333
16 Li 0.3333 0.3333 0.8354
17 Li 0.3333 0.8354 0.3333
18 Li 0.0897 0.0897 0.0897
19 Li 0.9103 0.9103 0.9103
20 Pd 0.0000 0.5000 0.5000
21 Pd 0.5000 0.5000 0.0000
22 Pd 0.5000 0.0000 0.5000

This record from Alexandria describes a relaxed BaLi2Pd3 crystal. The functional is PBE-GGA.

Results
The total energy is -4.06 eV/atom. The value obtained for the formation enthalpy at 0 K is -11.70 kcal/mol of atoms. The calculation puts the density of states at the Fermi level at 2.4 states/eV/cell.

Lattice parameters (Å, degrees): 4.0501 5.6892 5.6893 120.00 90.00 90.00
Fractional coordinates of all 6 atoms:
1 Ba 0.0000 0.0013 0.0000
2 Li 0.0000 0.3346 0.6666
3 Li 0.0000 0.6680 0.3334
4 Pd 0.5000 0.0012 0.5000
5 Pd 0.5000 0.5012 0.5000
6 Pd 0.5000 0.5012 0.0000

This record from Alexandria describes a relaxed Ba2Li2Pd crystal. The functional is PBE-GGA.

Results
The total energy is -2.61 eV/atom. The value obtained for the formation enthalpy at 0 K is -0.75 kcal/mol of atoms. Its energy above the most stable polymorph in this dataset is 0.751 eV/f.u. The calculation puts the density of states at the Fermi level at 10.2 states/eV/cell.

Lattice parameters (Å, degrees): 7.4937 7.4937 5.3360 90.00 90.00 90.00
Fractional coordinates of all 10 atoms:
1 Ba 0.1924 0.6924 0.5000
2 Ba 0.6924 0.8076 0.5000
3 Ba 0.8076 0.3076 0.5000
4 Ba 0.3076 0.1924 0.5000
5 Pd 0.0000 0.0000 0.0000
6 Pd 0.5000 0.5000 0.0000
7 Li 0.3643 0.8643 0.0000
8 Li 0.8643 0.6357 0.0000
9 Li 0.6357 0.1357 0.0000
10 Li 0.1357 0.3643 0.0000

This record from Alexandria describes a relaxed BaLi2Pd2 crystal. The functional is PBE-GGA.

Results
The total energy is -3.64 eV/atom. The value obtained for the formation enthalpy at 0 K is -9.50 kcal/mol of atoms. Its energy above the most stable polymorph in this dataset is 0.000 eV/f.u. The calculation puts the density of states at the Fermi level at 1.0 states/eV/cell.

Lattice parameters (Å, degrees): 4.3830 4.3830 6.4835 70.24 70.24 90.00
Fractional coordinates of all 5 atoms:
1 Ba 0.0000 0.0000 0.0000
2 Pd 0.3810 0.3810 0.2380
3 Pd 0.6190 0.6190 0.7620
4 Li 0.7500 0.2500 0.5000
5 Li 0.2500 0.7500 0.5000

This record from Alexandria describes a relaxed Ba2Li5Pd4 crystal. The functional is PBE-GGA.

Results
The total energy is -3.46 eV/atom. The value obtained for the formation enthalpy at 0 K is -8.01 kcal/mol of atoms. Its energy above the most stable polymorph in this dataset is 0.000 eV/f.u. The calculation puts the density of states at the Fermi level at 2.8 states/eV/cell.

Lattice parameters (Å, degrees): 6.0207 6.0207 8.0902 100.99 100.99 119.20
Fractional coordinates of all 11 atoms:
1 Ba 0.8492 0.8492 0.6983
2 Ba 0.1508 0.1508 0.3017
3 Li 0.5000 0.5000 0.0000
4 Li 0.5000 0.0000 0.0000
5 Li 0.0000 0.5000 0.0000
6 Li 0.7500 0.2500 0.5000
7 Li 0.2500 0.7500 0.5000
8 Pd 0.4954 0.7734 0.2689
9 Pd 0.5046 0.2266 0.7311
10 Pd 0.2266 0.5046 0.7311
11 Pd 0.7734 0.4954 0.2689

This record from Alexandria describes a relaxed Ba7Li2Pd2 crystal. The functional is PBE-GGA.

Results
The total energy is -2.68 eV/atom. The value obtained for the formation enthalpy at 0 K is -3.88 kcal/mol of atoms. The calculation puts the density of states at the Fermi level at 8.3 states/eV/cell.

Lattice parameters (Å, degrees): 8.2293 8.0519 8.0519 72.06 90.19 90.19
Fractional coordinates of all 11 atoms:
1 Ba 0.2510 0.0007 0.5002
2 Ba 0.7490 0.4998 0.9993
3 Ba 0.7490 0.9993 0.4998
4 Ba 0.2510 0.5002 0.0007
5 Ba 0.0000 0.0000 0.0000
6 Ba 0.7636 0.4994 0.4994
7 Ba 0.2364 0.5006 0.5006
8 Li 0.5000 0.8427 0.1573
9 Li 0.5000 0.1573 0.8427
10 Pd 0.0001 0.7113 0.7113
11 Pd 0.9999 0.2887 0.2887

This record from Alexandria describes a relaxed BaLi2Pd crystal. The functional is PBE-GGA.

Results
The total energy is -2.96 eV/atom. The value obtained for the formation enthalpy at 0 K is -5.21 kcal/mol of atoms. Its energy above the most stable polymorph in this dataset is 0.248 eV/f.u. The calculation puts the density of states at the Fermi level at 2.2 states/eV/cell.

Lattice parameters (Å, degrees): 4.5408 4.5408 6.2979 68.87 68.87 60.00
Fractional coordinates of all 4 atoms:
1 Ba 0.0000 0.0000 0.0000
2 Pd 0.5000 0.5000 0.5000
3 Li 0.8070 0.8070 0.5791
4 Li 0.1930 0.1930 0.4209

This record from Alexandria describes a relaxed Ba2Li2Pd crystal. The functional is PBE-GGA.

Results
The total energy is -2.76 eV/atom. The value obtained for the formation enthalpy at 0 K is -4.21 kcal/mol of atoms. Its energy above the most stable polymorph in this dataset is 0.000 eV/f.u. The calculation puts the density of states at the Fermi level at 4.2 states/eV/cell.

Lattice parameters (Å, degrees): 5.2684 5.2505 6.7188 67.00 66.92 90.00
Fractional coordinates of all 5 atoms:
1 Ba 0.6793 0.1793 0.6414
2 Ba 0.3207 0.8207 0.3586
3 Li 0.2313 0.5000 0.0000
4 Li 0.7687 0.5000 0.0000
5 Pd 0.0000 0.0000 0.0000

This record from Alexandria describes a relaxed Ba2LiPd crystal. The functional is PBE-GGA.

Results
The total energy is -2.95 eV/atom. The value obtained for the formation enthalpy at 0 K is -4.86 kcal/mol of atoms. The calculation puts the density of states at the Fermi level at 3.1 states/eV/cell.

Lattice parameters (Å, degrees): 4.5537 4.5537 9.7401 76.48 76.48 60.00
Fractional coordinates of all 4 atoms:
1 Ba 0.0633 0.0633 0.8100
2 Ba 0.2695 0.2695 0.1914
3 Li 0.5012 0.5012 0.4963
4 Pd 0.6659 0.6659 0.0023